Record 1
DFT (PBE) results for an optimized crystal structure of Nd3Dy4Y5.

Output
As for the energy relative to the lowest polymorph listed for this composition: 0.213 eV per atom. The symmetry is No. 12.

Lattice parameters (Å, degrees): 8.5956 8.5956 9.3037 114.45 114.45 40.47
Closest atoms and distances in Å follow each position.
Element x y z (fractional)
Nd1 0.0000 0.0000 0.0000  2 Y 2.97
Nd2 0.2920 0.2920 0.7711  3 Y 3.08-3.27, 2 Dy 3.29-3.41
Nd3 0.7080 0.7080 0.2289  3 Y 3.08-3.27, 2 Dy 3.29-3.41
Dy1 0.2898 0.2898 0.1230  3 Nd 3.29-3.56, 3 Dy 3.62-3.65, 2 Y 3.63
Dy2 0.4184 0.4184 0.5583  2 Dy 3.26-3.65, 1 Nd 3.41, 3 Y 3.44-3.57
Dy3 0.5816 0.5816 0.4417  2 Dy 3.26-3.65, 1 Nd 3.41, 3 Y 3.44-3.57
Dy4 0.7102 0.7102 0.8770  3 Nd 3.29-3.56, 3 Dy 3.62-3.65, 2 Y 3.63
Y1 0.0743 0.0743 0.6994  2 Nd 3.27-3.50, 1 Y 3.41, 2 Dy 3.63
Y2 0.1723 0.1723 0.3887  4 Nd 3.21-3.48, 3 Dy 3.44-3.57
Y3 0.5000 0.5000 0.0000  4 Nd 2.97-3.08
Y4 0.8277 0.8277 0.6113  4 Nd 3.21-3.48, 3 Dy 3.44-3.57
Y5 0.9257 0.9257 0.3006  2 Nd 3.27-3.50, 1 Y 3.41, 2 Dy 3.63

***

Record 2
DFT (PBE) results for an optimized crystal structure of NdDy4Y.

Output
As for the energy relative to the lowest polymorph listed for this composition: 0.128 eV per atom. The symmetry is No. 15.

Lattice parameters (Å, degrees): 8.7026 8.7026 6.5569 102.27 102.27 119.08
Closest atoms and distances in Å follow each position.
Element x y z (fractional)
Nd1 0.0142 0.9858 0.7500  2 Nd 3.31, 6 Dy 3.36-3.57
Nd2 0.9858 0.0142 0.2500  2 Nd 3.31, 6 Dy 3.36-3.57
Dy1 0.1173 0.7087 0.4528  6 Dy 3.31-3.59, 1 Nd 3.36, 1 Y 3.64
Dy2 0.1777 0.4251 0.1056  4 Dy 3.21-3.56, 2 Nd 3.40-3.57, 2 Y 3.50-3.51
Dy3 0.2913 0.8827 0.0472  6 Dy 3.31-3.59, 1 Nd 3.36, 1 Y 3.64
Dy4 0.4251 0.1777 0.6056  4 Dy 3.21-3.56, 2 Nd 3.40-3.57, 2 Y 3.50-3.51
Dy5 0.5749 0.8223 0.3944  4 Dy 3.21-3.56, 2 Nd 3.40-3.57, 2 Y 3.50-3.51
Dy6 0.7087 0.1173 0.9528  6 Dy 3.31-3.59, 1 Nd 3.36, 1 Y 3.64
Dy7 0.8223 0.5749 0.8944  4 Dy 3.21-3.56, 2 Nd 3.40-3.57, 2 Y 3.50-3.51
Dy8 0.8827 0.2913 0.5472  6 Dy 3.31-3.59, 1 Nd 3.36, 1 Y 3.64
Y1 0.4166 0.5834 0.7500  10 Dy 3.50-3.88
Y2 0.5834 0.4166 0.2500  10 Dy 3.50-3.88

***

Record 3
DFT (PBE) results for an optimized crystal structure of Nd4DyY7.

Output
As for the energy relative to the lowest polymorph listed for this composition: 0.012 eV per atom. The symmetry is No. 12.

Lattice parameters (Å, degrees): 6.7181 6.7181 13.0476 114.33 114.33 52.32
Closest atoms and distances in Å follow each position.
Element x y z (fractional)
Nd1 0.0886 0.0886 0.2937  4 Y 3.27-3.63
Nd2 0.3654 0.3654 0.2243  7 Y 3.39-3.76
Nd3 0.6346 0.6346 0.7757  7 Y 3.39-3.76
Nd4 0.9114 0.9114 0.7063  4 Y 3.27-3.63
Dy1 0.5000 0.5000 0.0000  4 Y 2.96-3.15
Y1 0.0000 0.0000 0.0000  2 Dy 2.96, 2 Y 3.18
Y2 0.1706 0.1706 0.6366  4 Y 3.42-3.47, 3 Nd 3.60-3.63
Y3 0.2103 0.2103 0.9175  1 Dy 3.15, 2 Y 3.18-3.47, 3 Nd 3.39
Y4 0.3674 0.3674 0.5137  2 Nd 3.27-3.46, 4 Y 3.38-3.46
Y5 0.6326 0.6326 0.4863  2 Nd 3.27-3.46, 4 Y 3.38-3.46
Y6 0.7897 0.7897 0.0825  1 Dy 3.15, 2 Y 3.18-3.47, 3 Nd 3.39
Y7 0.8294 0.8294 0.3634  4 Y 3.42-3.47, 3 Nd 3.60-3.63

***

Record 4
DFT (PBE) results for an optimized crystal structure of Nd6Dy4Y.

Output
As for the energy relative to the lowest polymorph listed for this composition: 0.000 eV per atom. The symmetry is No. 121.

Lattice parameters (Å, degrees): 9.9650 9.9650 9.9650 141.34 141.34 55.82
Closest atoms and distances in Å follow each position.
Element x y z (fractional)
Nd1 0.0000 0.5000 0.5000  2 Y 3.30, 4 Nd 3.40
Nd2 0.1860 0.1860 0.6429  3 Nd 3.33-3.40, 5 Dy 3.34-3.53
Nd3 0.4569 0.8140 0.0000  3 Nd 3.33-3.40, 5 Dy 3.34-3.53
Nd4 0.5000 0.0000 0.5000  2 Y 3.30, 4 Nd 3.40
Nd5 0.5431 0.5431 0.3571  3 Nd 3.33-3.40, 5 Dy 3.34-3.53
Nd6 0.8140 0.4569 0.0000  3 Nd 3.33-3.40, 5 Dy 3.34-3.53
Dy1 0.0100 0.6397 0.0000  5 Nd 3.34-3.53, 1 Dy 3.45, 1 Y 3.54
Dy2 0.3603 0.3603 0.3703  5 Nd 3.34-3.53, 1 Dy 3.45, 1 Y 3.54
Dy3 0.6397 0.0100 0.0000  5 Nd 3.34-3.53, 1 Dy 3.45, 1 Y 3.54
Dy4 0.9900 0.9900 0.6297  5 Nd 3.34-3.53, 1 Dy 3.45, 1 Y 3.54
Y1 0.0000 0.0000 0.0000  4 Nd 3.30, 4 Dy 3.54

***

Record 5
DFT (PBE) results for an optimized crystal structure of Nd3Dy8Y2.

Output
As for the energy relative to the lowest polymorph listed for this composition: 0.226 eV per atom. The symmetry is No. 12.

Lattice parameters (Å, degrees): 10.8026 10.8026 5.6620 90.02 90.02 41.87
Closest atoms and distances in Å follow each position.
Element x y z (fractional)
Nd1 0.0000 0.0000 0.0000  4 Dy 3.14
Nd2 0.2917 0.7083 0.5000  1 Nd 3.22, 6 Dy 3.53-3.58
Nd3 0.7083 0.2917 0.5000  1 Nd 3.22, 6 Dy 3.53-3.58
Dy1 0.1348 0.1348 0.4999  4 Nd 3.53-3.93, 2 Y 3.55-3.56, 7 Dy 3.65-3.93
Dy2 0.1825 0.6005 0.9996  1 Nd 3.14, 3 Dy 3.23-3.49, 2 Y 3.43-3.50
Dy3 0.3297 0.3297 0.4992  2 Y 3.34-3.35, 4 Dy 3.49
Dy4 0.3995 0.8175 0.0004  1 Nd 3.14, 3 Dy 3.23-3.49, 2 Y 3.43-3.50
Dy5 0.6005 0.1825 0.9996  1 Nd 3.14, 3 Dy 3.23-3.49, 2 Y 3.43-3.50
Dy6 0.6703 0.6703 0.5008  2 Y 3.34-3.35, 4 Dy 3.49
Dy7 0.8175 0.3995 0.0004  1 Nd 3.14, 3 Dy 3.23-3.49, 2 Y 3.43-3.50
Dy8 0.8652 0.8652 0.5001  4 Nd 3.53-3.93, 2 Y 3.55-3.56, 7 Dy 3.65-3.93
Y1 0.2414 0.2414 0.9993  8 Dy 3.34-3.56
Y2 0.7586 0.7586 0.0007  8 Dy 3.34-3.56

***

Record 6
DFT (PBE) results for an optimized crystal structure of NdDy2Y.

Output
As for the energy relative to the lowest polymorph listed for this composition: 0.015 eV per atom. The symmetry is No. 123.

Lattice parameters (Å, degrees): 5.0686 5.0686 5.0713 90.00 90.00 90.00
Closest atoms and distances in Å follow each position.
Element x y z (fractional)
Nd1 0.0000 0.0000 0.0000  4 Y 3.58, 8 Dy 3.58
Dy1 0.0000 0.5000 0.5000  4 Dy 3.58, 4 Y 3.58, 4 Nd 3.58
Dy2 0.5000 0.0000 0.5000  4 Dy 3.58, 4 Y 3.58, 4 Nd 3.58
Y1 0.5000 0.5000 0.0000  4 Nd 3.58, 8 Dy 3.58

***

Record 7
DFT (PBE) results for an optimized crystal structure of NdDy5Y12.

Output
The symmetry is No. 65.

Lattice parameters (Å, degrees): 10.7089 10.7089 5.0460 90.00 90.00 90.10
Closest atoms and distances in Å follow each position.
Element x y z (fractional)
Nd1 0.0000 0.0000 0.0000  8 Y 3.57, 4 Dy 3.58
Dy1 0.1678 0.8322 0.5000  8 Y 3.55-3.58, 2 Dy 3.56, 2 Nd 3.58
Dy2 0.3335 0.6665 0.0000  8 Y 3.55-3.56, 4 Dy 3.56-3.57
Dy3 0.5000 0.5000 0.5000  8 Y 3.55-3.56, 4 Dy 3.57
Dy4 0.6665 0.3335 0.0000  8 Y 3.55-3.56, 4 Dy 3.56-3.57
Dy5 0.8322 0.1678 0.5000  8 Y 3.55-3.58, 2 Dy 3.56, 2 Nd 3.58
Y1 0.0009 0.6662 0.0000  8 Y 3.56-3.59, 3 Dy 3.56, 1 Nd 3.57
Y2 0.1669 0.1669 0.5000  2 Nd 3.57, 8 Y 3.58, 2 Dy 3.58
Y3 0.1682 0.5008 0.5000  4 Dy 3.55, 8 Y 3.57-3.60
Y4 0.3345 0.3345 0.0000  4 Dy 3.56, 8 Y 3.57-3.59
Y5 0.3338 0.9991 0.0000  8 Y 3.56-3.59, 3 Dy 3.56, 1 Nd 3.57
Y6 0.4992 0.8318 0.5000  4 Dy 3.55, 8 Y 3.57-3.60
Y7 0.5008 0.1682 0.5000  4 Dy 3.55, 8 Y 3.57-3.60
Y8 0.6662 0.0009 0.0000  8 Y 3.56-3.59, 3 Dy 3.56, 1 Nd 3.57
Y9 0.6655 0.6655 0.0000  4 Dy 3.56, 8 Y 3.57-3.59
Y10 0.8318 0.4992 0.5000  4 Dy 3.55, 8 Y 3.57-3.60
Y11 0.8331 0.8331 0.5000  2 Nd 3.57, 8 Y 3.58, 2 Dy 3.58
Y12 0.9991 0.3338 0.0000  8 Y 3.56-3.59, 3 Dy 3.56, 1 Nd 3.57

***

Record 8
DFT (PBE) results for an optimized crystal structure of Nd3Dy8Y3.

Output
The symmetry is No. 71.

Lattice parameters (Å, degrees): 9.6964 9.6964 9.6964 146.00 111.71 78.53
Closest atoms and distances in Å follow each position.
Element x y z (fractional)
Nd1 0.0000 0.0000 0.0000  4 Y 3.59, 4 Nd 3.95
Nd2 0.1837 0.6837 0.5000  2 Y 3.53, 8 Dy 3.62-3.75
Nd3 0.8163 0.3163 0.5000  2 Y 3.53, 8 Dy 3.62-3.75
Dy1 0.1182 0.2782 0.8400  6 Dy 3.30-3.55, 2 Nd 3.62, 1 Y 3.65
Dy2 0.2394 0.8972 0.3422  5 Dy 3.09-3.44
Dy3 0.4382 0.2782 0.1600  6 Dy 3.30-3.55, 2 Nd 3.62, 1 Y 3.65
Dy4 0.4450 0.1028 0.3422  5 Dy 3.09-3.44
Dy5 0.5550 0.8972 0.6578  5 Dy 3.09-3.44
Dy6 0.5618 0.7218 0.8400  6 Dy 3.30-3.55, 2 Nd 3.62, 1 Y 3.65
Dy7 0.7606 0.1028 0.6578  5 Dy 3.09-3.44
Dy8 0.8818 0.7218 0.1600  6 Dy 3.30-3.55, 2 Nd 3.62, 1 Y 3.65
Y1 0.2024 0.5000 0.7024  1 Y 3.24, 4 Nd 3.53-3.59, 4 Dy 3.57
Y2 0.5000 0.5000 0.0000  2 Y 3.24
Y3 0.7976 0.5000 0.2976  1 Y 3.24, 4 Nd 3.53-3.59, 4 Dy 3.57

***

Quick rundown of E_form, same order as above: 0.232, 0.148, 0.282, 0.288, 0.245, 0.022, 0.023, 0.108 eV/atom